DFT (GGA+U) results for a relaxed Mn2PbF crystal.

Computed properties:
* raw total energy: -5.60 eV per atom
* distance to the lowest polymorph of the same formula: 0.00 eV/f.u.
* total moment: 2.252 μB/atom

Structure (CIF):
```
data_Mn2PbF
_space_group_name_H-M_alt 'I -4 2 d'
_space_group_IT_number 122
_space_group_name_Hall 'I -4 2bw'
_cell_length_a 6.886
_cell_length_b 6.886
_cell_length_c 6.915
_cell_angle_alpha 90.00
_cell_angle_beta 90.00
_cell_angle_gamma 90.00
loop_
_atom_site_label
_atom_site_type_symbol
_atom_site_fract_x
_atom_site_fract_y
_atom_site_fract_z
Mn1 Mn 0.165 0.250 0.125
Pb1 Pb 0.000 0.000 0.500
F1 F 0.000 0.000 0.000
```